No. 1
# HoEr14Tm GGA-PBE relaxed
# Size of the total moment, Bohr magnetons per cell: 0.00
# ΔE_f, eV per atom: 0.060
# Total DFT energy (no corrections), eV/atom: -4.50
# V, Å³ per atom: 30.50
# DOS at the Fermi energy, states/eV/f.u.: 30.11
data_HoEr14Tm
_space_group_name_H-M_alt 'A m m 2'
_space_group_IT_number 38
_space_group_name_Hall 'A 2 -2'
_cell_length_a 10.950
_cell_length_b 8.082
_cell_length_c 11.028
_cell_angle_alpha 90.00
_cell_angle_beta 90.00
_cell_angle_gamma 90.00
loop_
_atom_site_label
_atom_site_fract_x
_atom_site_fract_y
_atom_site_fract_z
Ho1 0.000 0.000 0.000
Er1 0.000 0.204 0.720
Er2 0.231 0.000 0.210
Er3 0.250 0.209 0.930
Er4 0.269 0.000 0.650
Er5 0.500 0.000 0.412
Er6 0.500 0.000 0.860
Er7 0.500 0.204 0.140
Tm1 0.000 0.000 0.448

=====

No. 2
# Ho9Er2Tm3 GGA-PBE relaxed
# Size of the total moment, Bohr magnetons per cell: 0.00
# ΔE_f, eV per atom: 0.117
# Total DFT energy (no corrections), eV/atom: -4.44
# V, Å³ per atom: 31.19
# DOS at the Fermi energy, states/eV/f.u.: 20.80
data_Ho9Er2Tm3
_space_group_name_H-M_alt 'P -1'
_space_group_IT_number 2
_space_group_name_Hall '-P 1'
_cell_length_a 6.392
_cell_length_b 6.471
_cell_length_c 11.412
_cell_angle_alpha 105.29
_cell_angle_beta 103.74
_cell_angle_gamma 94.95
loop_
_atom_site_label
_atom_site_fract_x
_atom_site_fract_y
_atom_site_fract_z
Ho1 0.000 0.000 0.000
Ho2 0.070 0.210 0.728
Ho3 0.205 0.695 0.593
Ho4 0.252 0.415 0.293
Ho5 0.412 0.878 0.210
Er1 0.449 0.684 0.911
Tm1 0.000 0.500 0.000
Tm2 0.321 0.165 0.509

=====

No. 3
# Ho2Er3Tm GGA-PBE relaxed
# Size of the total moment, Bohr magnetons per cell: 0.00
# ΔE_f, eV per atom: 0.024
# Total DFT energy (no corrections), eV/atom: -4.53
# V, Å³ per atom: 30.31
# Energy above the most stable polymorph in this dataset, meV/atom: 25
# DOS at the Fermi energy, states/eV/f.u.: 8.49
data_Ho2Er3Tm
_space_group_name_H-M_alt 'C 1 2/c 1'
_space_group_IT_number 15
_space_group_name_Hall '-C 2yc'
_cell_length_a 17.154
_cell_length_b 7.001
_cell_length_c 6.056
_cell_angle_alpha 90.00
_cell_angle_beta 90.03
_cell_angle_gamma 90.00
loop_
_atom_site_label
_atom_site_fract_x
_atom_site_fract_y
_atom_site_fract_z
Ho1 0.166 0.125 0.417
Er1 0.000 0.125 0.750
Er2 0.166 0.375 0.917
Tm1 0.000 0.375 0.250

=====

No. 4
# Ho6Er3Tm2 GGA-PBE relaxed
# Size of the total moment, Bohr magnetons per cell: 0.00
# ΔE_f, eV per atom: 0.023
# Total DFT energy (no corrections), eV/atom: -4.53
# V, Å³ per atom: 30.63
# Energy above the most stable polymorph in this dataset, meV/atom: 0
# DOS at the Fermi energy, states/eV/f.u.: 15.88
data_Ho6Er3Tm2
_space_group_name_H-M_alt 'R -3 m'
_space_group_IT_number 166
_space_group_name_Hall '-R 3 2"'
_cell_length_a 3.5163
_cell_length_b 3.5163
_cell_length_c 94.4094
_cell_angle_alpha 90.00
_cell_angle_beta 90.00
_cell_angle_gamma 120.00
loop_
_atom_site_label
_atom_site_fract_x
_atom_site_fract_y
_atom_site_fract_z
Ho1 0.0000 0.0000 0.0910
Ho2 0.0000 0.0000 0.1819
Ho3 0.0000 0.0000 0.3637
Er1 0.0000 0.0000 0.0000
Er2 0.0000 0.0000 0.2727
Tm1 0.0000 0.0000 0.4545

=====

No. 5
# Ho2Er5Tm12 GGA-PBE relaxed
# Size of the total moment, Bohr magnetons per cell: 0.00
# ΔE_f, eV per atom: 0.096
# Total DFT energy (no corrections), eV/atom: -4.41
# V, Å³ per atom: 30.47
# Energy above the most stable polymorph in this dataset, meV/atom: 0
# DOS at the Fermi energy, states/eV/f.u.: 27.42
data_Ho2Er5Tm12
_space_group_name_H-M_alt 'P -1'
_space_group_IT_number 2
_space_group_name_Hall '-P 1'
_cell_length_a 6.396
_cell_length_b 8.719
_cell_length_c 11.187
_cell_angle_alpha 109.29
_cell_angle_beta 93.08
_cell_angle_gamma 98.49
loop_
_atom_site_label
_atom_site_fract_x
_atom_site_fract_y
_atom_site_fract_z
Ho1 0.236 0.445 0.460
Er1 0.013 0.390 0.719
Er2 0.300 0.012 0.303
Er3 0.500 0.000 0.000
Tm1 0.022 0.202 0.138
Tm2 0.169 0.872 0.578
Tm3 0.202 0.172 0.862
Tm4 0.279 0.599 0.041
Tm5 0.448 0.656 0.770
Tm6 0.468 0.259 0.631

=====

No. 6
# HoEr5Tm4 GGA-PBE relaxed
# Size of the total moment, Bohr magnetons per cell: 0.01
# ΔE_f, eV per atom: 0.316
# Total DFT energy (no corrections), eV/atom: -4.21
# V, Å³ per atom: 31.31
# Energy above the most stable polymorph in this dataset, meV/atom: 259
# DOS at the Fermi energy, states/eV/f.u.: 12.98
data_HoEr5Tm4
_space_group_name_H-M_alt 'I 4'
_space_group_IT_number 79
_space_group_name_Hall 'I 4'
_cell_length_a 10.028
_cell_length_b 10.028
_cell_length_c 6.228
_cell_angle_alpha 90.00
_cell_angle_beta 90.00
_cell_angle_gamma 90.00
loop_
_atom_site_label
_atom_site_fract_x
_atom_site_fract_y
_atom_site_fract_z
Ho1 0.000 0.000 0.000
Er1 0.000 0.000 0.459
Er2 0.143 0.767 0.729
Tm1 0.049 0.654 0.230

=====

No. 7
# Ho3Er2Tm5 GGA-PBE relaxed
# Size of the total moment, Bohr magnetons per cell: 0.00
# ΔE_f, eV per atom: 0.360
# Total DFT energy (no corrections), eV/atom: -4.16
# V, Å³ per atom: 32.54
# Energy above the most stable polymorph in this dataset, meV/atom: 155
# DOS at the Fermi energy, states/eV/f.u.: 14.92
data_Ho3Er2Tm5
_space_group_name_H-M_alt 'I b a m'
_space_group_IT_number 72
_space_group_name_Hall '-I 2 2c'
_cell_length_a 12.597
_cell_length_b 16.782
_cell_length_c 6.157
_cell_angle_alpha 90.00
_cell_angle_beta 90.00
_cell_angle_gamma 90.00
loop_
_atom_site_label
_atom_site_fract_x
_atom_site_fract_y
_atom_site_fract_z
Ho1 0.000 0.000 0.250
Ho2 0.159 0.250 0.000
Er1 0.100 0.156 0.500
Tm1 0.000 0.500 0.250
Tm2 0.099 0.344 0.500
Tm3 0.249 0.500 0.250

=====

No. 8
# Ho7ErTm2 GGA-PBE relaxed
# Size of the total moment, Bohr magnetons per cell: 0.00
# ΔE_f, eV per atom: 0.022
# Total DFT energy (no corrections), eV/atom: -4.53
# V, Å³ per atom: 30.48
# Energy above the most stable polymorph in this dataset, meV/atom: 0
# DOS at the Fermi energy, states/eV/f.u.: 13.98
data_Ho7ErTm2
_space_group_name_H-M_alt 'P -1'
_space_group_IT_number 2
_space_group_name_Hall '-P 1'
_cell_length_a 6.067
_cell_length_b 7.012
_cell_length_c 7.845
_cell_angle_alpha 77.06
_cell_angle_beta 75.06
_cell_angle_gamma 73.31
loop_
_atom_site_label
_atom_site_fract_x
_atom_site_fract_y
_atom_site_fract_z
Ho1 0.000 0.000 0.000
Ho2 0.200 0.800 0.600
Ho3 0.400 0.100 0.200
Ho4 0.400 0.600 0.200
Er1 0.000 0.500 0.000
Tm1 0.200 0.300 0.600

=====

No. 9
# Ho5Er3Tm GGA-PBE relaxed
# Size of the total moment, Bohr magnetons per cell: 0.00
# ΔE_f, eV per atom: 0.532
# Total DFT energy (no corrections), eV/atom: -4.03
# V, Å³ per atom: 35.15
# Energy above the most stable polymorph in this dataset, meV/atom: 0
# DOS at the Fermi energy, states/eV/f.u.: 12.04
data_Ho5Er3Tm
_space_group_name_H-M_alt 'C 1 2/m 1'
_space_group_IT_number 12
_space_group_name_Hall '-C 2y'
_cell_length_a 14.974
_cell_length_b 11.288
_cell_length_c 9.792
_cell_angle_alpha 90.00
_cell_angle_beta 130.13
_cell_angle_gamma 90.00
loop_
_atom_site_label
_atom_site_fract_x
_atom_site_fract_y
_atom_site_fract_z
Ho1 0.000 0.242 0.000
Ho2 0.150 0.248 0.748
Ho3 0.221 0.500 0.037
Ho4 0.223 0.000 0.234
Er1 0.000 0.000 0.500
Er2 0.000 0.500 0.000
Er3 0.011 0.000 0.818
Er4 0.021 0.500 0.362
Tm1 0.248 0.000 0.601

=====

No. 10
# Ho8Er3Tm4 GGA-PBE relaxed
# Size of the total moment, Bohr magnetons per cell: 0.15
# ΔE_f, eV per atom: 0.157
# Total DFT energy (no corrections), eV/atom: -4.39
# V, Å³ per atom: 31.26
# Energy above the most stable polymorph in this dataset, meV/atom: 0
# DOS at the Fermi energy, states/eV/f.u.: 22.17
data_Ho8Er3Tm4
_space_group_name_H-M_alt 'R -3 m'
_space_group_IT_number 166
_space_group_name_Hall '-R 3 2"'
_cell_length_a 6.8328
_cell_length_b 6.8328
_cell_length_c 34.7893
_cell_angle_alpha 90.00
_cell_angle_beta 90.00
_cell_angle_gamma 120.00
loop_
_atom_site_label
_atom_site_fract_x
_atom_site_fract_y
_atom_site_fract_z
Ho1 0.0000 0.0000 0.2449
Ho2 0.0016 0.5008 0.7503
Er1 0.0000 0.5000 0.5000
Tm1 0.0000 0.0000 0.0000
Tm2 0.0000 0.0000 0.3362
Tm3 0.0000 0.0000 0.5000

=====

No. 11
# Ho3Er2Tm9 GGA-PBE relaxed
# Size of the total moment, Bohr magnetons per cell: 0.00
# ΔE_f, eV per atom: 0.122
# Total DFT energy (no corrections), eV/atom: -4.38
# V, Å³ per atom: 30.82
# DOS at the Fermi energy, states/eV/f.u.: 21.47
data_Ho3Er2Tm9
_space_group_name_H-M_alt 'P -1'
_space_group_IT_number 2
_space_group_name_Hall '-P 1'
_cell_length_a 6.389
_cell_length_b 6.449
_cell_length_c 11.333
_cell_angle_alpha 105.38
_cell_angle_beta 103.97
_cell_angle_gamma 94.78
loop_
_atom_site_label
_atom_site_fract_x
_atom_site_fract_y
_atom_site_fract_z
Ho1 0.000 0.000 0.000
Ho2 0.318 0.664 0.507
Er1 0.455 0.192 0.916
Tm1 0.000 0.500 0.000
Tm2 0.080 0.716 0.732
Tm3 0.206 0.196 0.596
Tm4 0.255 0.921 0.294
Tm5 0.405 0.381 0.213

=====

No. 12
# HoEr12Tm3 GGA-PBE relaxed
# Size of the total moment, Bohr magnetons per cell: 0.00
# ΔE_f, eV per atom: 0.023
# Total DFT energy (no corrections), eV/atom: -4.52
# V, Å³ per atom: 30.20
# DOS at the Fermi energy, states/eV/f.u.: 21.29
data_HoEr12Tm3
_space_group_name_H-M_alt 'P 4/m m m'
_space_group_IT_number 123
_space_group_name_Hall '-P 4 2'
_cell_length_a 4.944
_cell_length_b 4.944
_cell_length_c 19.765
_cell_angle_alpha 90.00
_cell_angle_beta 90.00
_cell_angle_gamma 90.00
loop_
_atom_site_label
_atom_site_fract_x
_atom_site_fract_y
_atom_site_fract_z
Ho1 0.000 0.000 0.000
Er1 0.000 0.500 0.125
Er2 0.000 0.500 0.375
Er3 0.500 0.500 0.000
Er4 0.500 0.500 0.250
Er5 0.500 0.500 0.500
Tm1 0.000 0.000 0.250
Tm2 0.000 0.000 0.500